[1]
Compound: Mg7GaPb4
Source: the Alexandria database
Functional: GGA-PBE
Structure: relaxed

Lattice parameters (Å, degrees): 15.296 5.446 8.964 90.00 124.33 90.00
Space group C2/m (No. 12)
Symmetry-distinct sites (fractional):
Mg 0.000 0.000 0.000 (multiplicity 2)
Mg 0.053 0.500 0.355 (multiplicity 4)
Mg 0.183 0.500 0.014 (multiplicity 4)
Mg 0.195 0.000 0.534 (multiplicity 4)
Ga 0.000 0.500 0.000 (multiplicity 2)
Pb 0.071 0.000 0.726 (multiplicity 4)
Pb 0.248 0.000 0.251 (multiplicity 4)

Calculated values
- E_form (eV per atom) = 0.023

---

[2]
Compound: MnGeSb2Te
Source: the Alexandria database
Functional: GGA-PBE
Structure: relaxed

Lattice parameters (Å, degrees): 5.060 5.060 5.278 90.00 90.00 90.00
Space group P4/mmm (No. 123)
Symmetry-distinct sites (fractional):
Mn 0.000 0.000 0.000 (multiplicity 1)
Ge 0.500 0.500 0.500 (multiplicity 1)
Sb 0.000 0.500 0.000 (multiplicity 2)
Te 0.000 0.000 0.500 (multiplicity 1)

Calculated values
- formation energy from raw total energies (eV/atom) = 0.489

---

[3]
Compound: ZrCoSi
Source: the Alexandria database
Functional: GGA-PBE
Structure: relaxed

Lattice parameters (Å, degrees): 3.551 9.712 5.180 90.00 90.00 90.00
Space group Cmcm (No. 63)
Symmetry-distinct sites (fractional):
Zr 0.000 0.202 0.250 (multiplicity 4)
Co 0.000 0.500 0.000 (multiplicity 4)
Si 0.000 0.084 0.750 (multiplicity 4)

Calculated values
- formation energy from raw total energies (eV/atom) = -0.814